[1]
First-principles (SCAN) data for a PBEsol-optimized structure of TcHgOs2, as listed in Alexandria.

Values from the calculation:
Its space group is C2/m, No. 12. As for the total energy: -243.11 eV/cell. For the total moment, the calculation gives 0.00 μB per atom. As for the density of states at the Fermi level: 4.79 states/eV per cell.

```
data_TcHgOs2
_cell_length_a 5.388
_cell_length_b 5.388
_cell_length_c 2.743
_cell_angle_alpha 104.45
_cell_angle_beta 104.45
_cell_angle_gamma 117.91
_symmetry_space_group_name_H-M 'P 1'
_symmetry_Int_Tables_number 1
loop_
_symmetry_equiv_pos_as_xyz
'x,y,z'
loop_
_atom_site_label
_atom_site_type_symbol
_atom_site_fract_x
_atom_site_fract_y
_atom_site_fract_z
_atom_site_occupancy
Tc1 Tc 0.000 0.000 0.000 1
Hg1 Hg 0.500 0.500 0.000 1
Os1 Os 0.000 0.500 0.500 1
Os2 Os 0.500 0.000 0.500 1
```

[2]
First-principles (SCAN) data for a PBEsol-optimized structure of SrSiNi2, as listed in Alexandria.

Values from the calculation:
Its space group is R3m, No. 160. For the total moment, the calculation gives 0.00 μB per atom. The uncorrected formation energy comes out at -396 meV per atom. As for the density of states at the Fermi level: 2.39 states/eV per cell.

```
data_SrSiNi2
_cell_length_a 5.857
_cell_length_b 5.857
_cell_length_c 5.857
_cell_angle_alpha 39.59
_cell_angle_beta 39.59
_cell_angle_gamma 39.59
_symmetry_space_group_name_H-M 'P 1'
_symmetry_Int_Tables_number 1
loop_
_symmetry_equiv_pos_as_xyz
'x,y,z'
loop_
_atom_site_label
_atom_site_type_symbol
_atom_site_fract_x
_atom_site_fract_y
_atom_site_fract_z
_atom_site_occupancy
Sr1 Sr 0.000 0.000 0.000 1
Si1 Si 0.813 0.813 0.813 1
Ni1 Ni 0.186 0.186 0.186 1
Ni2 Ni 0.476 0.476 0.476 1
```

[3]
First-principles (SCAN) data for a PBEsol-optimized structure of ZrSCl6O, as listed in Alexandria.

Values from the calculation:
Its space group is P2_1/c, No. 14. For the total moment, the calculation gives 0.00 μB per atom. The uncorrected formation energy comes out at -1410 meV per atom. As for the density of states at the Fermi level: 0.00 states/eV per cell.

```
data_ZrSCl6O
_cell_length_a 7.033
_cell_length_b 24.091
_cell_length_c 6.871
_cell_angle_alpha 90.00
_cell_angle_beta 116.48
_cell_angle_gamma 90.00
_symmetry_space_group_name_H-M 'P 1'
_symmetry_Int_Tables_number 1
loop_
_symmetry_equiv_pos_as_xyz
'x,y,z'
loop_
_atom_site_label
_atom_site_type_symbol
_atom_site_fract_x
_atom_site_fract_y
_atom_site_fract_z
_atom_site_occupancy
Zr1 Zr 0.156 0.070 0.012 1
Zr2 Zr 0.156 0.430 0.512 1
Zr3 Zr 0.844 0.570 0.488 1
Zr4 Zr 0.844 0.930 0.988 1
S1 S 0.344 0.629 0.897 1
S2 S 0.344 0.871 0.397 1
S3 S 0.656 0.129 0.603 1
S4 S 0.656 0.371 0.103 1
Cl1 Cl 0.047 0.522 0.302 1
Cl2 Cl 0.047 0.978 0.802 1
Cl3 Cl 0.168 0.153 0.201 1
Cl4 Cl 0.168 0.347 0.701 1
Cl5 Cl 0.226 0.657 0.103 1
Cl6 Cl 0.226 0.843 0.603 1
Cl7 Cl 0.278 0.102 0.764 1
Cl8 Cl 0.278 0.398 0.264 1
Cl9 Cl 0.339 0.704 0.746 1
Cl10 Cl 0.339 0.796 0.246 1
Cl11 Cl 0.481 0.033 0.271 1
Cl12 Cl 0.481 0.467 0.771 1
Cl13 Cl 0.519 0.533 0.229 1
Cl14 Cl 0.519 0.967 0.729 1
Cl15 Cl 0.661 0.204 0.754 1
Cl16 Cl 0.661 0.296 0.254 1
Cl17 Cl 0.722 0.602 0.736 1
Cl18 Cl 0.722 0.898 0.236 1
Cl19 Cl 0.774 0.157 0.397 1
Cl20 Cl 0.774 0.343 0.897 1
Cl21 Cl 0.832 0.653 0.299 1
Cl22 Cl 0.832 0.847 0.799 1
Cl23 Cl 0.953 0.022 0.198 1
Cl24 Cl 0.953 0.478 0.698 1
O1 O 0.174 0.595 0.732 1
O2 O 0.174 0.905 0.232 1
O3 O 0.826 0.095 0.768 1
O4 O 0.826 0.405 0.268 1
```

[4]
First-principles (SCAN) data for a PBEsol-optimized structure of TaTi2Al2, as listed in Alexandria.

Values from the calculation:
Its space group is P4/mbm, No. 127. As for the total energy: -230.77 eV/cell. For the total moment, the calculation gives 0.01 μB per atom. As for the density of states at the Fermi level: 8.32 states/eV per cell.

```
data_TaTi2Al2
_cell_length_a 7.192
_cell_length_b 7.192
_cell_length_c 3.138
_cell_angle_alpha 90.00
_cell_angle_beta 90.00
_cell_angle_gamma 90.00
_symmetry_space_group_name_H-M 'P 1'
_symmetry_Int_Tables_number 1
loop_
_symmetry_equiv_pos_as_xyz
'x,y,z'
loop_
_atom_site_label
_atom_site_type_symbol
_atom_site_fract_x
_atom_site_fract_y
_atom_site_fract_z
_atom_site_occupancy
Ta1 Ta 0.000 0.000 0.000 1
Ta2 Ta 0.500 0.500 0.000 1
Ti1 Ti 0.175 0.325 0.500 1
Ti2 Ti 0.325 0.825 0.500 1
Ti3 Ti 0.675 0.175 0.500 1
Ti4 Ti 0.825 0.675 0.500 1
Al1 Al 0.125 0.625 0.000 1
Al2 Al 0.375 0.125 0.000 1
Al3 Al 0.625 0.875 0.000 1
Al4 Al 0.875 0.375 0.000 1
```

[5]
First-principles (SCAN) data for a PBEsol-optimized structure of Ba2BiSb, as listed in Alexandria.

Values from the calculation:
Its space group is I-42d, No. 122. As for the offset from the most stable computed form: 123 meV/atom. For the total moment, the calculation gives 0.00 μB per atom. The uncorrected formation energy comes out at -743 meV per atom. As for the density of states at the Fermi level: 6.04 states/eV per cell.

```
data_Ba2BiSb
_cell_length_a 7.483
_cell_length_b 7.483
_cell_length_c 7.483
_cell_angle_alpha 102.76
_cell_angle_beta 102.76
_cell_angle_gamma 123.94
_symmetry_space_group_name_H-M 'P 1'
_symmetry_Int_Tables_number 1
loop_
_symmetry_equiv_pos_as_xyz
'x,y,z'
loop_
_atom_site_label
_atom_site_type_symbol
_atom_site_fract_x
_atom_site_fract_y
_atom_site_fract_z
_atom_site_occupancy
Ba1 Ba 0.117 0.125 0.492 1
Ba2 Ba 0.375 0.883 0.008 1
Ba3 Ba 0.633 0.625 0.508 1
Ba4 Ba 0.875 0.367 0.992 1
Bi1 Bi 0.250 0.750 0.500 1
Bi2 Bi 0.500 0.500 0.000 1
Sb1 Sb 0.000 0.000 0.000 1
Sb2 Sb 0.750 0.250 0.500 1
```

[6]
First-principles (SCAN) data for a PBEsol-optimized structure of K4LaCu, as listed in Alexandria.

Values from the calculation:
Its space group is F-43m, No. 216. As for the total energy: -86.76 eV/cell. For the total moment, the calculation gives 0.47 μB per atom. As for the density of states at the Fermi level: 6.01 states/eV per cell.

```
data_K4LaCu
_cell_length_a 7.321
_cell_length_b 7.321
_cell_length_c 7.321
_cell_angle_alpha 60.00
_cell_angle_beta 60.00
_cell_angle_gamma 60.00
_symmetry_space_group_name_H-M 'P 1'
_symmetry_Int_Tables_number 1
loop_
_symmetry_equiv_pos_as_xyz
'x,y,z'
loop_
_atom_site_label
_atom_site_type_symbol
_atom_site_fract_x
_atom_site_fract_y
_atom_site_fract_z
_atom_site_occupancy
K1 K 0.376 0.376 0.376 1
K2 K 0.376 0.376 0.871 1
K3 K 0.376 0.871 0.376 1
K4 K 0.871 0.376 0.376 1
La1 La 0.000 0.000 0.000 1
Cu1 Cu 0.750 0.750 0.750 1
```